The following is a DFT calculation (PBE) of Pm3TeN2 after structural relaxation.

```
12
Lattice="-3.3353 5.5774 3.7183 3.3353 -5.5774 3.7183 3.3353 5.5774 -3.7183" Properties=species:S:1:pos:R:3 pbc="T T T"
Pm 1.6446 0.0000 0.0000
Pm 5.0259 0.0000 0.0000
Pm -1.6676 2.7887 1.8592
Pm 1.6446 5.5774 0.0000
Pm 1.6676 2.7887 1.8592
Pm 1.6907 0.0000 3.7183
Te 3.3353 2.7887 -0.9246
Te 0.0000 2.7887 4.6429
N 0.0000 0.9484 1.3351
N 3.3353 0.9484 2.3833
N 0.0000 4.6291 1.3351
N 3.3353 4.6291 2.3833
```

Formation energy (no corrections) ... -1.06 eV per atom
Magnetic moment ... 0.00 μB per atom
Symmetry ... Imma (74)

The following is a DFT calculation (PBE) of HoTmTh2S4 after structural relaxation.

```
8
Lattice="6.6906 0.0000 0.0000 0.0000 3.8941 0.0000 -2.2618 0.0000 6.7158" Properties=species:S:1:pos:R:3 pbc="T T T"
Ho 0.0000 0.0000 0.0000
Tm 3.3453 1.9471 0.0000
Th -1.1309 1.9471 3.3579
Th 2.2144 0.0000 3.3579
S 1.1224 1.9471 1.5457
S -0.0136 0.0000 5.1783
S 4.4424 0.0000 1.5376
S 3.3064 1.9471 5.1701
```

Formation energy (no corrections) ... -1.89 eV per atom
Magnetic moment ... 0.00 μB per atom
Symmetry ... P2/m (10)

The following is a DFT calculation (PBE) of NaH2Pb4 after structural relaxation.

```
7
Lattice="2.6038 -8.9793 0.0000 2.6038 8.9793 0.0000 0.0000 0.0000 3.5144" Properties=species:S:1:pos:R:3 pbc="T T T"
Na 0.0000 0.0000 0.0000
H 2.6038 3.9325 1.7572
H 2.6038 -3.9325 1.7572
Pb 2.6038 5.6393 0.0000
Pb 2.6038 1.8737 1.7572
Pb 2.6038 -1.8737 1.7572
Pb 2.6038 -5.6393 0.0000
```

Calculated total energy ... -3.07 eV/atom
Magnetic moment ... 0.00 μB per atom
Symmetry ... Cmmm (65)

The following is a DFT calculation (PBE) of Pr2Rh3Pb2 after structural relaxation.

```
14
Lattice="-4.3835 4.3835 4.3835 4.3835 -4.3835 4.3835 4.3835 4.3835 -4.3835" Properties=species:S:1:pos:R:3 pbc="T T T"
Pr 4.2717 0.1118 -0.1118
Pr 0.1118 0.1118 0.1118
Pr 0.1118 -0.1118 4.2717
Pr -0.1118 4.2717 0.1118
Rh 4.3835 2.1917 -2.0577
Rh 2.1917 2.0577 0.0000
Rh 2.0577 0.0000 2.1917
Rh 2.1917 -2.0577 4.3835
Rh 0.0000 2.1917 2.0577
Rh -2.0577 4.3835 2.1917
Pb 6.1160 -1.7325 1.7325
Pb 1.7325 6.1160 -1.7325
Pb 2.6510 2.6510 2.6510
Pb -1.7325 1.7325 6.1160
```

ΔE_f ... -0.467 eV/atom
Magnetic moment ... 0.00 μB per atom
Symmetry ... I2_13 (199)

The following is a DFT calculation (PBE) of La2ZnCl after structural relaxation.

```
4
Lattice="-1.9027 1.9454 7.6797 1.9027 -1.9454 7.6797 1.9027 1.9454 -7.6797" Properties=species:S:1:pos:R:3 pbc="T T T"
La 0.0000 0.0000 0.0000
La 0.0000 1.9454 3.7857
Zn 0.0000 0.0000 6.2053
Cl 1.9027 0.0000 2.4058
```

Formation energy (no corrections) ... -0.77 eV per atom
Magnetic moment ... 0.00 μB per atom
Symmetry ... Imm2 (44)

The following is a DFT calculation (PBE) of LiHoTmPd after structural relaxation.

```
4
Lattice="0.0000 3.5211 3.5211 3.5211 0.0000 3.5211 3.5211 3.5211 0.0000" Properties=species:S:1:pos:R:3 pbc="T T T"
Li 0.0000 0.0000 0.0000
Ho 5.2816 5.2816 5.2816
Tm 1.7605 1.7605 1.7605
Pd 3.5211 3.5211 3.5211
```

ΔE_f ... -0.438 eV/atom
Magnetic moment ... 0.00 μB per atom
Symmetry ... F-43m (216)

The following is a DFT calculation (PBE) of K2Ta2NiSe6 after structural relaxation.

```
11
Lattice="3.2195 -5.5730 0.0000 3.2195 5.5730 0.0000 -2.3685 0.0000 7.8678" Properties=species:S:1:pos:R:3 pbc="T T T"
K 3.2195 3.8024 0.0000
K 3.2195 -3.8024 0.0000
Ta 2.0352 2.0787 3.9339
Ta 2.0352 -2.0787 3.9339
Ni -1.1842 0.0000 3.9339
Se -0.0714 1.7774 5.4800
Se 0.9444 0.0000 2.6115
Se -0.0714 -1.7774 5.4800
Se 4.1419 1.7774 2.3878
Se 3.1260 0.0000 5.2562
Se 4.1419 -1.7774 2.3878
```

Formation energy (no corrections) ... -0.73 eV per atom
Magnetic moment ... 0.03 μB per atom
Symmetry ... C2/m (12)

The following is a DFT calculation (PBE) of Tb6Sm2DyTm3 after structural relaxation.

```
12
Lattice="3.0769 -5.3245 0.0000 3.0769 5.3245 0.0000 -2.0408 0.0000 11.5838" Properties=species:S:1:pos:R:3 pbc="T T T"
Tb 0.0105 1.7728 8.7251
Tb 1.0219 0.0000 2.8572
Tb 0.0105 -1.7728 8.7251
Tb 4.1024 1.7728 2.8587
Tb 3.0909 0.0000 8.7266
Tb 4.1024 -1.7728 2.8587
Sm 2.0564 1.7750 5.7919
Sm 2.0564 -1.7750 5.7919
Dy -1.0204 0.0000 5.7919
Tm 3.0769 3.5515 0.0000
Tm 3.0769 0.0000 0.0000
Tm 3.0769 -3.5515 0.0000
```

ΔE_f ... 0.018 eV/atom
Magnetic moment ... 0.00 μB per atom
Symmetry ... C2/m (12)